Below is a relaxed structure of Ba2CdH, with properties calculated at the GGA-PBE level.

Cell and atoms, written as CIF:
```
data_Ba2CdH
_space_group_name_H-M_alt 'R -3 m'
_space_group_IT_number 166
_space_group_name_Hall '-R 3 2"'
_cell_length_a 4.4326
_cell_length_b 4.4326
_cell_length_c 24.5577
_cell_angle_alpha 90.00
_cell_angle_beta 90.00
_cell_angle_gamma 120.00
loop_
_atom_site_label
_atom_site_fract_x
_atom_site_fract_y
_atom_site_fract_z
Ba1 0.0000 0.0000 0.2331
Cd1 0.0000 0.0000 0.0000
H1 0.0000 0.0000 0.5000
```

- ΔE to the lowest computed polymorph: 0.083 eV/atom
- Uncorrected energy: -26.52 eV for the cell shown

***

Below is a relaxed structure of Ba12Cd3H5, with properties calculated at the GGA-PBE level.

Cell and atoms, written as CIF:
```
data_Ba12Cd3H5
_space_group_name_H-M_alt 'I a -3 d'
_space_group_IT_number 230
_space_group_name_Hall '-I 4bd 2c 3'
_cell_length_a 18.412
_cell_length_b 18.412
_cell_length_c 18.412
_cell_angle_alpha 90.00
_cell_angle_beta 90.00
_cell_angle_gamma 90.00
loop_
_atom_site_label
_atom_site_fract_x
_atom_site_fract_y
_atom_site_fract_z
Ba1 0.037 0.056 0.653
Cd1 0.000 0.250 0.125
H1 0.000 0.000 0.000
H2 0.000 0.250 0.375
```

- Uncorrected energy: -379.78 eV for the cell shown

***

Below is a relaxed structure of Ba4Cd2H, with properties calculated at the GGA-PBE level.

Cell and atoms, written as CIF:
```
data_Ba4Cd2H
_space_group_name_H-M_alt 'I 4/m m m'
_space_group_IT_number 139
_space_group_name_Hall '-I 4 2'
_cell_length_a 5.540
_cell_length_b 5.540
_cell_length_c 18.175
_cell_angle_alpha 90.00
_cell_angle_beta 90.00
_cell_angle_gamma 90.00
loop_
_atom_site_label
_atom_site_fract_x
_atom_site_fract_y
_atom_site_fract_z
Ba1 0.000 0.000 0.181
Ba2 0.000 0.500 0.000
Cd1 0.000 0.000 0.375
H1 0.000 0.000 0.000
```

- ΔE to the lowest computed polymorph: 0.014 eV/atom
- Uncorrected energy: -28.94 eV for the cell shown

***

What is the uncorrected energy in the third record? -28.94 eV for the cell shown

***

Copy entry 1 word for word.
Below is a relaxed structure of Ba2CdH, with properties calculated at the GGA-PBE level.

Cell and atoms, written as CIF:
```
data_Ba2CdH
_space_group_name_H-M_alt 'R -3 m'
_space_group_IT_number 166
_space_group_name_Hall '-R 3 2"'
_cell_length_a 4.4326
_cell_length_b 4.4326
_cell_length_c 24.5577
_cell_angle_alpha 90.00
_cell_angle_beta 90.00
_cell_angle_gamma 120.00
loop_
_atom_site_label
_atom_site_fract_x
_atom_site_fract_y
_atom_site_fract_z
Ba1 0.0000 0.0000 0.2331
Cd1 0.0000 0.0000 0.0000
H1 0.0000 0.0000 0.5000
```

- ΔE to the lowest computed polymorph: 0.083 eV/atom
- Uncorrected energy: -26.52 eV for the cell shown

***

Repeat the third record exactly.
Below is a relaxed structure of Ba4Cd2H, with properties calculated at the GGA-PBE level.

Cell and atoms, written as CIF:
```
data_Ba4Cd2H
_space_group_name_H-M_alt 'I 4/m m m'
_space_group_IT_number 139
_space_group_name_Hall '-I 4 2'
_cell_length_a 5.540
_cell_length_b 5.540
_cell_length_c 18.175
_cell_angle_alpha 90.00
_cell_angle_beta 90.00
_cell_angle_gamma 90.00
loop_
_atom_site_label
_atom_site_fract_x
_atom_site_fract_y
_atom_site_fract_z
Ba1 0.000 0.000 0.181
Ba2 0.000 0.500 0.000
Cd1 0.000 0.000 0.375
H1 0.000 0.000 0.000
```

- ΔE to the lowest computed polymorph: 0.014 eV/atom
- Uncorrected energy: -28.94 eV for the cell shown